Entry from Alexandria via LeMat-Bulk: an optimized crystal structure of Ho3Er2TmTe6 (PBE).

crystal system = monoclinic
density of states at the Fermi level = 6.248 states/eV per cell
total magnetic moment = 0.00 μB per formula unit
space-group type = C2/m (12)
raw formation energy = -1413 kJ/mol of formula units

a = 9.6726 Å, b = 9.6726 Å, c = 8.6892 Å
α = 103.23°, β = 103.23°, γ = 25.71°
Last column: nearest neighbours and their distance in Å.
Positions (direct):
Ho 0.0000 0.0000 0.0000  6 Te 3.05-3.07
Ho 0.3323 0.3323 0.6668  6 Te 3.06-3.08
Ho 0.6677 0.6677 0.3332  6 Te 3.06-3.08
Er 0.3325 0.3325 0.1659  6 Te 3.04-3.07
Er 0.6675 0.6675 0.8341  6 Te 3.04-3.07
Tm 0.0000 0.0000 0.5000  6 Te 3.03-3.04
Te 0.1654 0.1654 0.5835  1 Tm 3.03, 2 Er 3.05, 3 Ho 3.06-3.07
Te 0.1666 0.1666 0.0821  3 Er 3.04-3.05, 3 Ho 3.05-3.06
Te 0.4997 0.4997 0.2522  2 Tm 3.04, 1 Er 3.07, 3 Ho 3.07-3.08
Te 0.5003 0.5003 0.7478  2 Tm 3.04, 1 Er 3.07, 3 Ho 3.07-3.08
Te 0.8334 0.8334 0.9179  3 Er 3.04-3.05, 3 Ho 3.05-3.06
Te 0.8346 0.8346 0.4165  1 Tm 3.03, 2 Er 3.05, 3 Ho 3.06-3.07

---

Entry from Alexandria via LeMat-Bulk: an optimized crystal structure of GaAgHgRh2 (PBE).

crystal system = tetragonal
density of states at the Fermi level = 3.682 states/eV per cell
formation energy from the elements = 1.24 eV/atom
total magnetic moment = 0.00 μB per formula unit
space-group type = P4/mmm (123)

a = 4.9424 Å, b = 4.9424 Å, c = 5.0213 Å
α = 90.00°, β = 90.00°, γ = 90.00°
Last column: nearest neighbours and their distance in Å.
Positions (direct):
Ga 0.0000 0.0000 0.0000  4 Hg 3.49, 8 Rh 3.52
Ag 0.5000 0.5000 0.5000  4 Rh 2.47, 2 Hg 2.51
Hg 0.5000 0.5000 0.0000  2 Ag 2.51
Rh 0.0000 0.5000 0.5000  2 Ag 2.47
Rh 0.5000 0.0000 0.5000  2 Ag 2.47

---

Entry from Alexandria via LeMat-Bulk: an optimized crystal structure of SrTaTe (PBE).

crystal system = tetragonal
relative energy among the computed polymorphs = 0.000 eV/atom
density of states at the Fermi level = 4.306 states/eV per cell
total magnetic moment = 0.00 μB per formula unit
space-group type = P4/nmm (129)
raw formation energy = -98 kJ/mol of formula units

a = 4.1392 Å, b = 4.1392 Å, c = 10.3028 Å
α = 90.00°, β = 90.00°, γ = 90.00°
Last column: nearest neighbours and their distance in Å.
Positions (direct):
Sr 0.2500 0.2500 0.1572  4 Te 3.30
Sr 0.7500 0.7500 0.8428  4 Te 3.30
Ta 0.2500 0.7500 0.5000  4 Te 2.88, 4 Ta 2.93
Ta 0.7500 0.2500 0.5000  4 Te 2.88, 4 Ta 2.93
Te 0.2500 0.2500 0.6942  4 Ta 2.88
Te 0.7500 0.7500 0.3058  4 Ta 2.88

---

Entry from Alexandria via LeMat-Bulk: an optimized crystal structure of PrThHg3 (PBE).

crystal system = orthorhombic
density of states at the Fermi level = 9.728 states/eV per cell
formation energy from the elements = -0.33 eV/atom
total magnetic moment = 0.15 μB per formula unit
space-group type = Cmcm (63)

a = 15.1804 Å, b = 15.1804 Å, c = 4.9767 Å
α = 90.00°, β = 90.00°, γ = 166.32°
Last column: nearest neighbours and their distance in Å.
Positions (direct):
Pr 0.0735 0.9265 0.7500  12 Hg 3.38-3.55, 2 Pr 3.62
Pr 0.9265 0.0735 0.2500  12 Hg 3.38-3.55, 2 Pr 3.62
Th 0.2141 0.7859 0.2500  7 Hg 3.29-3.36, 2 Th 3.62
Th 0.7859 0.2141 0.7500  7 Hg 3.29-3.36, 2 Th 3.62
Hg 0.3250 0.6750 0.2500  2 Hg 2.99, 5 Th 3.29-3.34
Hg 0.3799 0.6201 0.7500  3 Hg 2.90-2.99
Hg 0.4761 0.5239 0.7500  3 Hg 2.87-2.90
Hg 0.5239 0.4761 0.2500  3 Hg 2.87-2.90
Hg 0.6201 0.3799 0.2500  3 Hg 2.90-2.99
Hg 0.6750 0.3250 0.7500  2 Hg 2.99, 5 Th 3.29-3.34

---

Entry from Alexandria via LeMat-Bulk: an optimized crystal structure of LaY4Al5 (PBE).

crystal system = tetragonal
density of states at the Fermi level = 4.337 states/eV per cell
formation energy from the elements = -0.41 eV/atom
total magnetic moment = 0.00 μB per formula unit
space-group type = P4/mmm (123)

a = 3.6421 Å, b = 3.6421 Å, c = 18.2650 Å
α = 90.00°, β = 90.00°, γ = 90.00°
Last column: nearest neighbours and their distance in Å.
Positions (direct):
La 0.0000 0.0000 0.0000  8 Al 3.29, 4 La 3.64
Y 0.0000 0.0000 0.2075  8 Al 3.11-3.13
Y 0.0000 0.0000 0.4025  8 Al 3.13
Y 0.0000 0.0000 0.5975  8 Al 3.13
Y 0.0000 0.0000 0.7925  8 Al 3.11-3.13
Al 0.5000 0.5000 0.1121  4 Y 3.11, 4 La 3.29
Al 0.5000 0.5000 0.3049  8 Y 3.13
Al 0.5000 0.5000 0.5000  8 Y 3.13
Al 0.5000 0.5000 0.6951  8 Y 3.13
Al 0.5000 0.5000 0.8879  4 Y 3.11, 4 La 3.29

---

Entry from Alexandria via LeMat-Bulk: an optimized crystal structure of Nd2OsC4 (PBE).

crystal system = orthorhombic
density of states at the Fermi level = 1.459 states/eV per cell
formation energy from the elements = -0.12 eV/atom
total magnetic moment = 0.00 μB per formula unit
space-group type = Ibam (72)

a = 6.8889 Å, b = 6.8889 Å, c = 6.8889 Å
α = 110.02°, β = 88.30°, γ = 133.43°
Last column: nearest neighbours and their distance in Å.
Positions (direct):
Nd 0.1512 0.1470 0.2983  7 C 2.49-2.74
Nd 0.3488 0.6470 0.9958  7 C 2.49-2.74
Nd 0.6512 0.3530 0.0042  7 C 2.49-2.74
Nd 0.8488 0.8530 0.7017  7 C 2.49-2.74
Os 0.2500 0.7500 0.5000  4 C 2.05
Os 0.7500 0.2500 0.5000  4 C 2.05
C 0.0733 0.6716 0.7449  1 C 1.37
C 0.1242 0.8331 0.9573  1 C 1.37
C 0.3758 0.3331 0.7089  1 C 1.37
C 0.4267 0.1716 0.5983  1 C 1.37
C 0.5733 0.8284 0.4017  1 C 1.37
C 0.6242 0.6669 0.2911  1 C 1.37
C 0.8758 0.1669 0.0427  1 C 1.37
C 0.9267 0.3284 0.2551  1 C 1.37

---

Please write out number 5 again, unchanged.
Entry from Alexandria via LeMat-Bulk: an optimized crystal structure of LaY4Al5 (PBE).

crystal system = tetragonal
density of states at the Fermi level = 4.337 states/eV per cell
formation energy from the elements = -0.41 eV/atom
total magnetic moment = 0.00 μB per formula unit
space-group type = P4/mmm (123)

a = 3.6421 Å, b = 3.6421 Å, c = 18.2650 Å
α = 90.00°, β = 90.00°, γ = 90.00°
Last column: nearest neighbours and their distance in Å.
Positions (direct):
La 0.0000 0.0000 0.0000  8 Al 3.29, 4 La 3.64
Y 0.0000 0.0000 0.2075  8 Al 3.11-3.13
Y 0.0000 0.0000 0.4025  8 Al 3.13
Y 0.0000 0.0000 0.5975  8 Al 3.13
Y 0.0000 0.0000 0.7925  8 Al 3.11-3.13
Al 0.5000 0.5000 0.1121  4 Y 3.11, 4 La 3.29
Al 0.5000 0.5000 0.3049  8 Y 3.13
Al 0.5000 0.5000 0.5000  8 Y 3.13
Al 0.5000 0.5000 0.6951  8 Y 3.13
Al 0.5000 0.5000 0.8879  4 Y 3.11, 4 La 3.29

---

> Which of these has the lowest density of states at the Fermi level?

Nd2OsC4

---

> Which value of total magnetic moment does entry 3 give?

0.00 μB per formula unit